Entry 1:
Th2CuRu | PBE-GGA | relaxed

```
Th2CuRu
1.0
5.9561 0.0000 0.0000
0.0000 4.2986 0.0000
-2.6503 0.0000 7.2895
Th Cu Ru
4 2 2
Direct
0.2227 0.2500 0.4270
0.2277 0.2500 0.9443
0.7723 0.7500 0.0557
0.7773 0.7500 0.5730
0.3441 0.7500 0.7103
0.6559 0.2500 0.2897
0.3042 0.7500 0.2143
0.6958 0.2500 0.7857
```

Output
- N(E_F) (states/eV per cell) = 6.86
- formation energy from the elements (eV/atom) = -0.37


Entry 2:
Th4Cu3Ru | PBE-GGA | relaxed

```
Th4Cu3Ru
1.0
3.9099 0.0000 0.0000
0.0000 4.2129 0.0000
0.0000 0.0000 11.2445
Th Cu Ru
4 3 1
Direct
0.0000 0.0000 0.0000
0.0000 0.5000 0.2783
0.5000 0.0000 0.4990
0.5000 0.5000 0.7905
0.0000 0.0000 0.7100
0.0000 0.5000 0.5730
0.5000 0.5000 0.0729
0.5000 0.0000 0.2414
```

Output
- N(E_F) (states/eV per cell) = 7.25
- formation energy from the elements (eV/atom) = -0.23


Entry 3:
ThCuRu2 | PBE-GGA | relaxed

```
ThCuRu2
1.0
4.1838 0.0000 0.0000
0.0000 4.1838 0.0000
0.0000 0.0000 3.9504
Th Cu Ru
1 1 2
Direct
0.0000 0.0000 0.0000
0.5000 0.5000 0.0000
0.0000 0.5000 0.5000
0.5000 0.0000 0.5000
```

Output
- N(E_F) (states/eV per cell) = 4.96
- formation energy from the elements (eV/atom) = -0.10


Entry 4:
ThCuRu2 | PBE-GGA | relaxed

```
ThCuRu2
1.0
0.0000 3.2575 3.2575
3.2575 0.0000 3.2575
3.2575 3.2575 0.0000
Th Cu Ru
1 1 2
Direct
0.0000 0.0000 0.0000
0.5000 0.5000 0.5000
0.2500 0.2500 0.2500
0.7500 0.7500 0.7500
```

Output
- N(E_F) (states/eV per cell) = 5.21
- formation energy from the elements (eV/atom) = -0.02


Entry 5:
ThCu2Ru | PBE-GGA | relaxed

```
ThCu2Ru
1.0
0.0000 3.2745 3.2745
3.2745 0.0000 3.2745
3.2745 3.2745 0.0000
Th Cu Ru
1 2 1
Direct
0.0000 0.0000 0.0000
0.2500 0.2500 0.2500
0.7500 0.7500 0.7500
0.5000 0.5000 0.5000
```

Output
- N(E_F) (states/eV per cell) = 2.07
- formation energy from the elements (eV/atom) = 0.05


Entry 6:
Th2CuRu | PBE-GGA | relaxed

```
Th2CuRu
1.0
5.0160 0.0000 0.0000
0.0000 5.0160 0.0000
0.0000 0.0000 3.5946
Th Cu Ru
2 1 1
Direct
0.0000 0.5000 0.0000
0.5000 0.0000 0.0000
0.0000 0.0000 0.5000
0.5000 0.5000 0.5000
```

Output
- N(E_F) (states/eV per cell) = 4.47
- formation energy from the elements (eV/atom) = -0.22


Entry 7:
ThCu4Ru | PBE-GGA | relaxed

```
ThCu4Ru
1.0
0.0000 3.5730 3.5730
3.5730 0.0000 3.5730
3.5730 3.5730 0.0000
Th Cu Ru
1 4 1
Direct
0.0000 0.0000 0.0000
0.3768 0.3768 0.3768
0.3768 0.3768 0.8696
0.3768 0.8696 0.3768
0.8696 0.3768 0.3768
0.7500 0.7500 0.7500
```

Output
- N(E_F) (states/eV per cell) = 4.91
- formation energy from the elements (eV/atom) = -0.10


Entry 8:
TmThCuRu | PBE-GGA | relaxed

```
TmThCuRu
1.0
0.0000 3.4891 3.4891
3.4891 0.0000 3.4891
3.4891 3.4891 0.0000
Tm Th Cu Ru
1 1 1 1
Direct
0.0000 0.0000 0.0000
0.5000 0.5000 0.5000
0.2500 0.2500 0.2500
0.7500 0.7500 0.7500
```

Output
- N(E_F) (states/eV per cell) = 3.79
- formation energy from the elements (eV/atom) = -0.32


Entry 9:
YThCuRu | PBE-GGA | relaxed

```
YThCuRu
1.0
0.0000 3.5141 3.5141
3.5141 0.0000 3.5141
3.5141 3.5141 0.0000
Y Th Cu Ru
1 1 1 1
Direct
0.0000 0.0000 0.0000
0.5000 0.5000 0.5000
0.7500 0.7500 0.7500
0.2500 0.2500 0.2500
```

Output
- N(E_F) (states/eV per cell) = 4.20
- formation energy from the elements (eV/atom) = -0.28


Entry 10:
ThZnCuRu | PBE-GGA | relaxed

```
ThZnCuRu
1.0
0.0000 3.3344 3.3344
3.3344 0.0000 3.3344
3.3344 3.3344 0.0000
Th Zn Cu Ru
1 1 1 1
Direct
0.0000 0.0000 0.0000
0.5000 0.5000 0.5000
0.7500 0.7500 0.7500
0.2500 0.2500 0.2500
```

Output
- N(E_F) (states/eV per cell) = 3.06
- formation energy from the elements (eV/atom) = -0.09


Entry 11:
ThZrCuRu | PBE-GGA | relaxed

```
ThZrCuRu
1.0
0.0000 3.4340 3.4340
3.4340 0.0000 3.4340
3.4340 3.4340 0.0000
Th Zr Cu Ru
1 1 1 1
Direct
0.0000 0.0000 0.0000
0.5000 0.5000 0.5000
0.2500 0.2500 0.2500
0.7500 0.7500 0.7500
```

Output
- N(E_F) (states/eV per cell) = 3.25
- formation energy from the elements (eV/atom) = -0.21


Entry 12:
TiCuRu2 | PBE-GGA | relaxed

```
TiCuRu2
1.0
-1.8924 1.8924 8.6437
1.8924 -1.8924 8.6437
1.8924 1.8924 -8.6437
Ti Cu Ru
2 2 4
Direct
0.0000 0.0000 0.0000
0.7500 0.2500 0.5000
0.2500 0.7500 0.5000
0.5000 0.5000 0.0000
0.1650 0.6250 0.0400
0.3750 0.4150 0.5400
0.5850 0.1250 0.9600
0.8750 0.8350 0.4600
```

Output
- N(E_F) (states/eV per cell) = 8.08
- formation energy from the elements (eV/atom) = 0.32